No. 1
Compound: CuTe3Au
Source: Alexandria via LeMat-Bulk
Functional: PBE
Structure: optimized geometry

Lattice parameters (Å, degrees): 4.114 6.165 7.789 113.31 90.00 90.00
Positions (direct):
Cu (0.000, 0.593, 0.186)
Te (0.500, 0.303, 0.111)
Te (0.500, 0.809, 0.111)
Te (0.000, 0.776, 0.552)
Au (0.500, 0.892, 0.784)

Values from the calculation:
electronic total energy	-3.245	eV/atom
size of the total moment	0.000	μB/f.u.
distance to the lowest polymorph of the same formula	100	meV per atom
energy relative to the elements, uncorrected	0.115	eV per atom
space group	Amm2


No. 2
Compound: Cu3TeAu3
Source: Alexandria via LeMat-Bulk
Functional: PBE
Structure: optimized geometry

Lattice parameters (Å, degrees): 6.935 6.935 6.935 90.00 90.00 90.00
Positions (direct):
Te (0.500, 0.500, 0.500)
Te (0.000, 0.000, 0.000)
Au (0.000, 0.250, 0.500)
Au (0.000, 0.750, 0.500)
Au (0.500, 0.000, 0.750)
Au (0.750, 0.500, 0.000)
Au (0.500, 0.000, 0.250)
Au (0.250, 0.500, 0.000)
Cu (0.250, 0.000, 0.500)
Cu (0.000, 0.500, 0.250)
Cu (0.500, 0.750, 0.000)
Cu (0.750, 0.000, 0.500)
Cu (0.000, 0.500, 0.750)
Cu (0.500, 0.250, 0.000)

Values from the calculation:
electronic total energy	-2.974	eV/atom
size of the total moment	0.000	μB/f.u.
energy relative to the elements, uncorrected	0.635	eV per atom
space group	Pm-3n


No. 3
Compound: Cu3Te4Au
Source: Alexandria via LeMat-Bulk
Functional: PBE
Structure: optimized geometry

Lattice parameters (Å, degrees): 7.258 7.077 8.303 90.00 90.00 90.00
Positions (direct):
Cu (0.493, 0.828, 0.000)
Cu (0.994, 0.664, 0.248)
Cu (0.494, 0.336, 0.252)
Cu (0.993, 0.172, 0.500)
Cu (0.494, 0.336, 0.748)
Cu (0.994, 0.664, 0.752)
Te (0.144, 0.813, 0.000)
Te (0.616, 0.168, 0.000)
Te (0.144, 0.338, 0.259)
Te (0.644, 0.662, 0.241)
Te (0.116, 0.832, 0.500)
Te (0.644, 0.187, 0.500)
Te (0.644, 0.662, 0.759)
Te (0.144, 0.338, 0.741)
Au (0.987, 0.161, 0.000)
Au (0.487, 0.839, 0.500)

Values from the calculation:
electronic total energy	-3.525	eV/atom
size of the total moment	0.000	μB/f.u.
energy relative to the elements, uncorrected	-0.008	eV per atom
space group	Pmn2_1